Pm4CoAg after structural relaxation. Source: Alexandria, functional PBE.

```
Pm4CoAg
1.0
4.903 0.000 0.000
0.000 4.903 0.000
0.000 0.000 7.300
Pm Co Ag
4 1 1
direct
0.500 0.000 0.724 Pm
0.000 0.500 0.724 Pm
0.500 0.000 0.276 Pm
0.000 0.500 0.276 Pm
0.500 0.500 0.500 Co
0.000 0.000 0.000 Ag
```

Computed properties:
Energy above the lowest structure with this stoichiometry: 217 meV per atom
Formation energy: 0.052 eV/atom
Crystal system: tetragonal

***

MgPaZn2 after structural relaxation. Source: Alexandria, functional PBE.

```
MgPaZn2
1.0
4.841 0.000 0.000
2.420 4.192 0.000
2.420 1.397 3.952
Zn Pa Mg
2 1 1
direct
0.250 0.250 0.250 Zn
0.750 0.750 0.750 Zn
0.000 0.000 0.000 Pa
0.500 0.500 0.500 Mg
```

Computed properties:
Energy above the lowest structure with this stoichiometry: 26 meV per atom
Formation energy: -0.025 eV/atom
Crystal system: cubic

***

LiUTe3Pd after structural relaxation. Source: Alexandria, functional PBE.

```
LiUTe3Pd
1.0
-1.144 -2.793 2.687
7.393 -3.085 -0.061
1.137 6.361 7.098
Li U Te Pd
2 2 6 2
direct
0.250 0.658 0.173 Li
0.750 0.342 0.827 Li
0.250 0.173 0.270 U
0.750 0.827 0.730 U
0.750 0.912 0.131 Te
0.250 0.088 0.869 Te
0.250 0.719 0.484 Te
0.750 0.281 0.516 Te
0.750 0.398 0.148 Te
0.250 0.602 0.852 Te
0.250 0.078 0.587 Pd
0.750 0.922 0.413 Pd
```

Computed properties:
Crystal system: monoclinic
Raw formation energy: -648 meV per atom

***

BeAlTcMo after structural relaxation. Source: Alexandria, functional PBE.

```
BeAlTcMo
1.0
-2.954 -2.290 -2.012
0.739 -1.439 -3.924
0.614 -4.148 -0.659
Be Mo Tc Al
1 1 1 1
direct
0.000 0.000 0.000 Be
0.750 0.750 0.750 Mo
0.500 0.500 0.500 Tc
0.250 0.250 0.250 Al
```

Computed properties:
Formation energy: -0.204 eV/atom
Crystal system: cubic

***

Sr2ZnCu after structural relaxation. Source: Alexandria, functional PBE.

```
Sr2ZnCu
1.0
-0.912 -3.774 -2.239
3.051 -3.278 -0.203
-2.191 -5.440 5.591
Cu Sr Zn
1 2 1
direct
0.250 0.250 0.250 Cu
0.993 0.993 0.021 Sr
0.507 0.507 0.479 Sr
0.750 0.750 0.750 Zn
```

Computed properties:
Formation energy: 0.028 eV/atom
Crystal system: monoclinic

***

SiNi2Br after structural relaxation. Source: Alexandria, functional PBE.

```
SiNi2Br
1.0
5.975 -0.007 -0.005
4.875 3.455 -0.005
4.875 1.549 3.088
Br Ni Si
1 2 1
direct
0.750 0.750 0.750 Br
0.969 0.969 0.969 Ni
0.531 0.531 0.531 Ni
0.250 0.250 0.250 Si
```

Computed properties:
Energy above the lowest structure with this stoichiometry: 126 meV per atom
Crystal system: trigonal
Raw formation energy: -62 meV per atom

***

Y2CuP after structural relaxation. Source: Alexandria, functional PBE.

```
Y2CuP
1.0
3.511 0.006 0.000
-1.000 3.366 0.000
0.000 0.000 7.827
Cu P Y
1 1 2
direct
0.000 0.000 0.555 Cu
0.500 0.500 0.701 P
0.000 0.000 0.926 Y
0.500 0.500 0.318 Y
```

Computed properties:
Formation energy: -0.322 eV/atom
Crystal system: orthorhombic

***

MoRu3 after structural relaxation. Source: Alexandria, functional PBE.

```
MoRu3
1.0
2.750 0.000 0.000
-1.375 2.382 0.000
0.000 0.000 8.776
Ru Mo
3 1
direct
0.000 0.000 0.500 Ru
0.333 0.667 0.255 Ru
0.333 0.667 0.745 Ru
0.000 0.000 0.000 Mo
```

Computed properties:
Energy above the lowest structure with this stoichiometry: 86 meV per atom
Formation energy: 0.030 eV/atom
Crystal system: hexagonal

***

Tb2NdSc2 after structural relaxation. Source: Alexandria, functional PBE.

```
Tb2NdSc2
1.0
-5.790 -1.972 1.212
3.039 -0.745 -5.393
5.276 -7.952 5.574
Tb Nd Sc
4 2 4
direct
0.416 0.584 0.500 Tb
0.166 0.834 0.000 Tb
0.084 0.916 0.500 Tb
0.834 0.166 0.000 Tb
0.750 0.250 0.500 Nd
0.500 0.500 0.000 Nd
0.125 0.375 0.750 Sc
0.625 0.375 0.250 Sc
0.625 0.375 0.750 Sc
0.625 0.875 0.250 Sc
```

Computed properties:
Energy above the lowest structure with this stoichiometry: 405 meV per atom
Formation energy: 0.534 eV/atom
Crystal system: orthorhombic

***

SrLa3Os after structural relaxation. Source: Alexandria, functional PBE.

```
SrLa3Os
1.0
-1.836 4.400 -0.089
-1.922 -3.329 2.822
11.129 4.914 13.376
Sr Os La
2 2 6
direct
0.333 0.667 0.750 Sr
0.667 0.333 0.250 Sr
0.000 0.000 0.000 Os
0.000 0.000 0.500 Os
0.000 0.000 0.250 La
0.000 0.000 0.750 La
0.333 0.667 0.934 La
0.333 0.667 0.566 La
0.667 0.333 0.434 La
0.667 0.333 0.066 La
```

Computed properties:
Energy above the lowest structure with this stoichiometry: 1057 meV per atom
Formation energy: 0.973 eV/atom
Crystal system: hexagonal

***

CsHgH after structural relaxation. Source: Alexandria, functional PBE.

```
CsHgH
1.0
-3.233 2.167 0.885
-1.383 -0.547 -3.708
-3.123 -5.017 1.875
Cs Hg H
1 1 1
direct
0.175 0.828 0.333 Cs
0.703 0.331 0.850 Hg
0.664 0.326 0.508 H
```

Computed properties:
Energy above the lowest structure with this stoichiometry: 42 meV per atom
Crystal system: triclinic

***

InCuP after structural relaxation. Source: Alexandria, functional PBE.

```
InCuP
1.0
-0.124 3.775 -1.123
-0.500 -2.864 -2.660
-4.089 0.072 0.691
Cu In P
1 1 1
direct
0.000 0.000 0.789 Cu
0.333 0.667 0.341 In
0.667 0.333 0.870 P
```

Computed properties:
Formation energy: 0.052 eV/atom
Crystal system: trigonal

***

Sm2HoEr7 after structural relaxation. Source: Alexandria, functional PBE.

```
Sm2HoEr7
1.0
-0.147 3.136 -1.539
6.645 -5.497 -11.833
-11.584 3.503 8.242
Sm Ho Er
2 1 7
direct
0.500 0.709 0.291 Sm
0.500 0.291 0.709 Sm
0.000 0.000 0.000 Ho
0.000 0.815 0.185 Er
0.000 0.185 0.815 Er
0.500 0.148 0.344 Er
0.500 0.852 0.656 Er
0.500 0.344 0.148 Er
0.500 0.656 0.852 Er
0.500 0.500 0.500 Er
```

Computed properties:
Formation energy: 0.160 eV/atom
Crystal system: orthorhombic